This record from the Alexandria database describes Sr3Sc3AgTe8 after structural relaxation. The functional is PBE-GGA.

CIF file:
```
data_Sr3Sc3AgTe8
_chemical_formula_sum 'Sr3 Sc3 Ag1 Te8'
_symmetry_space_group_name_H-M 'P 1'
_symmetry_Int_Tables_number 1
_cell_length_a 8.727
_cell_length_b 8.724
_cell_length_c 8.938
_cell_angle_alpha 119.20
_cell_angle_beta 90.00
_cell_angle_gamma 120.01
loop_
_symmetry_equiv_pos_as_xyz
'x,y,z'
loop_
_atom_site_label
_atom_site_fract_x
_atom_site_fract_y
_atom_site_fract_z
Sr1 0.000 0.000 0.000
Sr2 0.000 0.500 0.000
Sr3 0.500 0.500 0.000
Sc1 0.500 0.000 0.500
Sc2 0.500 0.500 0.500
Sc3 0.000 0.500 0.500
Ag1 0.000 0.000 0.500
Te1 0.261 0.521 0.282
Te2 0.739 0.479 0.718
Te3 0.752 0.505 0.281
Te4 0.248 0.495 0.719
Te5 0.752 0.028 0.280
Te6 0.248 0.972 0.720
Te7 0.276 0.028 0.280
Te8 0.724 0.972 0.720
```

Properties
Space-group type: No. 166
Total DFT energy (no corrections), eV per atom: -4.67
ΔE_f (raw), kcal/mol of atoms: -27.7